## Mg2Zn2Rh3 (PBE-GGA)

Data for Mg2Zn2Rh3 after structural relaxation.

The crystal system is monoclinic. The value obtained for the energy of formation from the pure elements is -331 meV per atom. The calculation puts the total magnetization at 0.00 Bohr magnetons per cell. For the total energy, the calculation gives -4.30 eV per atom.

The structure belongs to space group C2/m (No. 12); the cell edges are 7.575, 4.365 and 7.268 Å and the angles 90.00°, 110.35° and 90.00°. The distinct sites, in fractional coordinates, are Mg at (0.119, 0.000, 0.357), Zn at (0.125, 0.500, 0.877), Rh at (0.000, 0.500, 0.500) and Rh at (0.246, 0.500, 0.240).